First-principles (GGA-PBE) data for Ce6GaSb after structural relaxation, as listed in Alexandria.

Geometry as POSCAR:
```
Ce6GaSb
1.0
3.9376 -4.9070 0.0000
3.9376 4.9070 0.0000
-2.1861 0.0000 6.0419
Ce Ga Sb
6 1 1
direct
0.0977 0.6649 0.6867
0.3232 0.3232 0.8915
0.3351 0.9023 0.3133
0.6649 0.0977 0.6867
0.6768 0.6768 0.1085
0.9023 0.3351 0.3133
0.0000 0.0000 0.0000
0.5000 0.5000 0.5000
```

Raw formation energy in eV per atom: -0.16
Polymorph energy (0 for the lowest one) in meV per atom: 248